DFT (GGA-PBE) results for crystalline Cr2NiPt9 at its relaxed geometry.

POSCAR file:
```
Cr2NiPt9
1.0
3.911 0.000 0.000
0.000 3.911 0.000
0.000 0.000 11.705
Cr Ni Pt
2 1 9
direct
0.000 0.000 0.170
0.000 0.000 0.830
0.000 0.000 0.500
0.000 0.500 0.000
0.000 0.500 0.334
0.000 0.500 0.666
0.500 0.000 0.000
0.500 0.000 0.334
0.500 0.000 0.666
0.500 0.500 0.167
0.500 0.500 0.500
0.500 0.500 0.833
```

Calculated values
Calculated total energy (eV per atom): -6.82
N(E_F) (states/eV per cell): 17.48
Energy of formation from the pure elements (eV per atom): -0.2065